Record 1
NaDyHg4 | PBE-GGA | optimized geometry

* D(E_F): 1.9 states/eV per cell
* formation energy: -1.78 eV per formula unit
* symmetry: C2/m, No. 12
* energy relative to the lowest polymorph listed for this composition: 0 meV/atom

Lattice parameters (Å, degrees): 3.860 5.594 7.859 100.72 75.78 69.82
Fractional coordinates of all 6 atoms:
Hg1 0.163 0.507 0.167
Hg2 0.837 0.493 0.833
Na1 0.000 0.000 0.000
Hg3 0.331 0.005 0.334
Hg4 0.669 0.995 0.666
Dy1 0.500 0.500 0.500

---

Record 2
NaDy2Hg | PBE-GGA | optimized geometry

* D(E_F): 3.1 states/eV per cell
* formation energy: -0.20 eV per formula unit
* symmetry: P4/mmm, No. 123
* energy relative to the lowest polymorph listed for this composition: 0 meV/atom

Lattice parameters (Å, degrees): 3.953 5.233 5.233 90.00 90.00 90.00
Fractional coordinates of all 4 atoms:
Na1 0.500 0.500 0.500
Dy1 0.000 0.000 0.500
Hg1 0.500 0.000 0.000
Dy2 0.000 0.500 0.000

---

Record 3
NaNdDyHg | PBE-GGA | optimized geometry

* D(E_F): 4.9 states/eV per cell
* formation energy: -0.23 eV per formula unit
* symmetry: F-43m, No. 216

Lattice parameters (Å, degrees): 5.427 5.427 5.427 60.00 60.00 60.00
Last column: magnetic moment on the atom in μB.
Fractional coordinates of all 4 atoms:
Na1 0.250 0.250 0.250  0.01
Hg1 0.750 0.750 0.750  0.02
Dy1 0.500 0.500 0.500  0.25
Nd1 0.000 0.000 0.000  0.19

---

Record 4
NaNdDy2Hg4 | PBE-GGA | optimized geometry

* D(E_F): 7.7 states/eV per cell
* formation energy: -3.23 eV per formula unit
* symmetry: R-3m, No. 166

Lattice parameters (Å, degrees): 5.229 5.229 9.287 73.65 73.65 60.00
Fractional coordinates of all 8 atoms:
Hg1 0.874 0.874 0.377
Dy1 0.755 0.755 0.734
Hg2 0.621 0.621 0.137
Na1 0.500 0.500 0.500
Nd1 0.000 0.000 0.000
Dy2 0.245 0.245 0.266
Hg3 0.126 0.126 0.623
Hg4 0.379 0.379 0.863

---

Record 5
NaDyHgPb | PBE-GGA | optimized geometry

* D(E_F): 1.4 states/eV per cell
* formation energy: -1.45 eV per formula unit
* symmetry: F-43m, No. 216

Lattice parameters (Å, degrees): 5.310 5.310 5.310 60.00 60.00 60.00
Fractional coordinates of all 4 atoms:
Pb1 0.750 0.750 0.750
Dy1 0.500 0.500 0.500
Hg1 0.250 0.250 0.250
Na1 0.000 0.000 0.000

---

Record 6
NaDyHgPt | PBE-GGA | optimized geometry

* D(E_F): 2.0 states/eV per cell
* formation energy: -2.03 eV per formula unit
* symmetry: F-43m, No. 216

Lattice parameters (Å, degrees): 4.979 4.979 4.979 60.00 60.00 60.00
Fractional coordinates of all 4 atoms:
Pt1 0.500 0.500 0.500
Dy1 0.250 0.250 0.250
Na1 0.750 0.750 0.750
Hg1 0.000 0.000 0.000

---

Record 7
NaDyHgSb | PBE-GGA | optimized geometry

* D(E_F): 3.7 states/eV per cell
* uncorrected formation energy: -0.47 eV per atom
* symmetry: F-43m, No. 216

Lattice parameters (Å, degrees): 5.279 5.279 5.279 60.00 60.00 60.00
Fractional coordinates of all 4 atoms:
Sb1 0.000 0.000 0.000
Na1 0.750 0.750 0.750
Hg1 0.500 0.500 0.500
Dy1 0.250 0.250 0.250

---

Record 8
NaSmDy2Hg4 | PBE-GGA | optimized geometry

* D(E_F): 8.1 states/eV per cell
* formation energy: -3.27 eV per formula unit
* symmetry: R-3m, No. 166

Lattice parameters (Å, degrees): 5.234 5.234 9.188 73.45 73.45 60.00
Fractional coordinates of all 8 atoms:
Hg1 0.623 0.623 0.130
Sm1 0.000 0.000 0.000
Hg2 0.875 0.875 0.375
Dy1 0.754 0.754 0.737
Hg3 0.377 0.377 0.870
Dy2 0.246 0.246 0.263
Na1 0.500 0.500 0.500
Hg4 0.125 0.125 0.625

---

Record 9
NaSrDyHg | PBE-GGA | optimized geometry

* D(E_F): 2.6 states/eV per cell
* formation energy: -0.27 eV per formula unit
* symmetry: F-43m, No. 216

Lattice parameters (Å, degrees): 5.574 5.574 5.574 60.00 60.00 60.00
Fractional coordinates of all 4 atoms:
Na1 0.000 0.000 0.000
Sr1 0.750 0.750 0.750
Dy1 0.250 0.250 0.250
Hg1 0.500 0.500 0.500

---

Record 10
NaTbDyHg | PBE-GGA | optimized geometry

* D(E_F): 5.2 states/eV per cell
* formation energy: -0.17 eV per formula unit
* symmetry: F-43m, No. 216

Lattice parameters (Å, degrees): 5.353 5.353 5.353 60.00 60.00 60.00
Last column: magnetic moment on the atom in μB.
Fractional coordinates of all 4 atoms:
Tb1 0.500 0.500 0.500  0.18
Dy1 0.000 0.000 0.000  0.18
Na1 0.750 0.750 0.750  0.01
Hg1 0.250 0.250 0.250  0.02

---

Record 11
NaDyHgTe3 | PBE-GGA | optimized geometry

* uncorrected formation energy: -0.86 eV per atom
* symmetry: P2_1/m, No. 11

Lattice parameters (Å, degrees): 4.464 8.854 10.867 106.07 90.00 90.00
Fractional coordinates of all 12 atoms:
Te1 0.250 0.562 0.852
Te2 0.750 0.923 0.136
Te3 0.750 0.438 0.148
Te4 0.250 0.077 0.864
Dy1 0.250 0.677 0.147
Hg1 0.750 0.910 0.393
Te5 0.750 0.260 0.546
Dy2 0.750 0.323 0.853
Te6 0.250 0.740 0.454
Hg2 0.250 0.090 0.607
Na1 0.750 0.796 0.800
Na2 0.250 0.204 0.200

---

Record 12
NaDyTlHg | PBE-GGA | optimized geometry

* D(E_F): 2.6 states/eV per cell
* formation energy: -1.12 eV per formula unit
* symmetry: F-43m, No. 216
* energy relative to the lowest polymorph listed for this composition: 0 meV/atom

Lattice parameters (Å, degrees): 5.249 5.249 5.249 60.00 60.00 60.00
Fractional coordinates of all 4 atoms:
Na1 0.000 0.000 0.000
Hg1 0.750 0.750 0.750
Tl1 0.250 0.250 0.250
Dy1 0.500 0.500 0.500

---

Record 13
NaDyTlHg | PBE-GGA | optimized geometry

* D(E_F): 2.3 states/eV per cell
* formation energy: -1.08 eV per formula unit
* symmetry: P4mm, No. 99
* energy relative to the lowest polymorph listed for this composition: 9 meV/atom

Lattice parameters (Å, degrees): 3.744 3.744 7.560 90.00 90.00 90.00
Fractional coordinates of all 4 atoms:
Na1 0.000 0.000 0.851
Dy1 0.000 0.000 0.369
Hg1 0.500 0.500 0.601
Tl1 0.500 0.500 0.108

---

Record 14
NaDyZnHg | PBE-GGA | optimized geometry

* D(E_F): 2.6 states/eV per cell
* formation energy: -0.79 eV per formula unit
* symmetry: F-43m, No. 216

Lattice parameters (Å, degrees): 5.076 5.076 5.076 60.00 60.00 60.00
Fractional coordinates of all 4 atoms:
Zn1 0.000 0.000 0.000
Dy1 0.750 0.750 0.750
Na1 0.250 0.250 0.250
Hg1 0.500 0.500 0.500

---

Record 15
Dy2NbHg | PBE-GGA | optimized geometry

* D(E_F): 3.8 states/eV per cell
* formation energy: -0.18 eV per formula unit
* symmetry: P4/mmm, No. 123
* energy relative to the lowest polymorph listed for this composition: 0 meV/atom

Lattice parameters (Å, degrees): 3.378 3.378 8.630 90.00 90.00 90.00
Fractional coordinates of all 4 atoms:
Hg1 0.500 0.500 0.500
Dy1 0.000 0.000 0.756
Nb1 0.500 0.500 0.000
Dy2 0.000 0.000 0.244

---

Record 16
Dy2NbHg | PBE-GGA | optimized geometry

* D(E_F): 6.2 states/eV per cell
* formation energy: 1.71 eV per formula unit
* symmetry: R-3m, No. 166
* energy relative to the lowest polymorph listed for this composition: 471 meV/atom

Lattice parameters (Å, degrees): 3.234 3.234 11.380 81.83 81.83 60.00
Last column: magnetic moment on the atom in μB.
Fractional coordinates of all 4 atoms:
Hg1 0.500 0.500 0.500  0.00
Dy1 0.913 0.913 0.262  0.07
Dy2 0.087 0.087 0.738  0.07
Nb1 0.000 0.000 0.000  0.46

---

Record 17
Nd5DyHg3 | PBE-GGA | optimized geometry

* D(E_F): 17.3 states/eV per cell
* formation energy: -2.56 eV per formula unit
* symmetry: P6_3/mcm, No. 193

Lattice parameters (Å, degrees): 7.041 9.368 9.368 120.00 90.00 90.00
Fractional coordinates of all 18 atoms:
Hg1 0.750 0.000 0.673
Nd1 0.750 0.664 0.664
Dy1 0.500 0.000 0.000
Hg2 0.750 0.673 0.000
Nd2 0.250 0.664 0.000
Nd3 0.500 0.667 0.333
Nd4 0.750 0.000 0.336
Hg3 0.250 0.000 0.327
Dy2 0.000 0.000 0.000
Nd5 0.250 0.336 0.336
Hg4 0.750 0.327 0.327
Nd6 0.750 0.336 0.000
Hg5 0.250 0.327 0.000
Nd7 0.000 0.667 0.333
Hg6 0.250 0.673 0.673
Nd8 0.500 0.333 0.667
Nd9 0.000 0.333 0.667
Nd10 0.250 0.000 0.664

---

Record 18
Nd2Dy2Hg3 | PBE-GGA | optimized geometry

* D(E_F): 9.3 states/eV per cell
* formation energy: -2.25 eV per formula unit
* symmetry: R-3m, No. 166

Lattice parameters (Å, degrees): 5.242 5.243 9.123 90.01 106.70 119.99
Last column: magnetic moment on the atom in μB.
Fractional coordinates of all 7 atoms:
Hg1 0.506 0.253 0.759  0.01
Dy1 0.245 0.622 0.868  0.11
Hg2 0.000 0.000 0.000  0.01
Nd1 0.745 0.872 0.617  0.17
Dy2 0.755 0.378 0.132  0.11
Nd2 0.255 0.128 0.383  0.17
Hg3 0.494 0.747 0.241  0.01

---

Record 19
Nd2DyHg4 | PBE-GGA | optimized geometry

* D(E_F): 7.0 states/eV per cell
* formation energy: -0.27 eV per formula unit
* symmetry: I4/mmm, No. 139
* energy relative to the lowest polymorph listed for this composition: 308 meV/atom

Lattice parameters (Å, degrees): 5.638 5.638 8.795 108.70 108.70 90.00
Fractional coordinates of all 7 atoms:
Dy1 0.000 0.000 0.000
Hg1 0.500 0.000 0.000
Hg2 0.193 0.193 0.385
Nd1 0.393 0.393 0.787
Hg3 0.807 0.807 0.615
Nd2 0.607 0.607 0.213
Hg4 0.000 0.500 0.000

---

Record 20
Nd8DyHg2 | PBE-GGA | optimized geometry

* D(E_F): 13.9 states/eV per cell
* formation energy: -0.69 eV per formula unit
* symmetry: C2/m, No. 12

Lattice parameters (Å, degrees): 5.754 8.885 8.885 119.23 100.58 100.58
Fractional coordinates of all 11 atoms:
Nd1 0.897 0.684 0.909
Nd2 0.500 0.775 0.225
Nd3 0.700 0.400 0.400
Nd4 0.897 0.909 0.684
Nd5 0.300 0.600 0.600
Nd6 0.103 0.091 0.316
Hg1 0.000 0.694 0.306
Nd7 0.500 0.225 0.775
Nd8 0.103 0.316 0.091
Hg2 0.000 0.306 0.694
Dy1 0.500 0.000 0.000

---

Record 21
Nd3Dy4Hg4 | PBE-GGA | optimized geometry

* D(E_F): 9.0 states/eV per cell
* formation energy: -3.10 eV per formula unit
* symmetry: Immm, No. 71

Lattice parameters (Å, degrees): 4.941 7.989 9.506 114.85 105.06 90.00
Fractional coordinates of all 11 atoms:
Dy1 0.327 0.538 0.653
Dy2 0.673 0.885 0.347
Hg1 0.500 0.807 0.000
Nd1 0.889 0.889 0.779
Dy3 0.327 0.115 0.653
Nd2 0.000 0.500 0.000
Nd3 0.111 0.111 0.221
Hg2 0.212 0.712 0.425
Hg3 0.788 0.288 0.575
Dy4 0.673 0.462 0.347
Hg4 0.500 0.193 0.000

---

Record 22
Nd5Dy3Hg2 | PBE-GGA | optimized geometry

* D(E_F): 31.5 states/eV per cell
* formation energy: 0.54 eV per formula unit
* symmetry: Ibam, No. 72

Lattice parameters (Å, degrees): 6.893 10.643 10.643 66.63 71.10 71.10
Fractional coordinates of all 20 atoms:
Nd1 0.559 0.210 0.671
Nd2 0.444 0.306 0.306
Hg1 0.655 0.894 0.797
Nd3 0.250 0.500 0.500
Dy1 0.674 0.603 0.049
Nd4 0.941 0.329 0.790
Nd5 0.441 0.790 0.329
Nd6 0.750 0.500 0.500
Nd7 0.944 0.306 0.306
Hg2 0.155 0.797 0.894
Nd8 0.556 0.694 0.694
Hg3 0.345 0.106 0.203
Hg4 0.845 0.203 0.106
Dy2 0.326 0.397 0.951
Dy3 0.826 0.951 0.397
Dy4 0.174 0.049 0.603
Nd9 0.056 0.694 0.694
Nd10 0.059 0.671 0.210
Dy5 0.250 0.000 0.000
Dy6 0.750 0.000 0.000

---

Record 23
NdDy2Hg2 | PBE-GGA | optimized geometry

* D(E_F): 10.1 states/eV per cell
* formation energy: -1.90 eV per formula unit
* symmetry: P2_1/m, No. 11
* energy relative to the lowest polymorph listed for this composition: 0 meV/atom

Lattice parameters (Å, degrees): 3.755 5.395 13.887 90.00 97.76 90.00
Fractional coordinates of all 10 atoms:
Dy1 0.236 0.750 0.473
Dy2 0.764 0.250 0.527
Hg1 0.545 0.250 0.090
Nd1 0.148 0.250 0.293
Dy3 0.951 0.250 0.904
Nd2 0.852 0.750 0.707
Hg2 0.355 0.250 0.711
Dy4 0.049 0.750 0.096
Hg3 0.645 0.750 0.289
Hg4 0.455 0.750 0.910

---

Record 24
Nd2Dy2Hg | PBE-GGA | optimized geometry

* D(E_F): 7.3 states/eV per cell
* formation energy: -0.91 eV per formula unit
* symmetry: I4/mmm, No. 139
* energy relative to the lowest polymorph listed for this composition: 0 meV/atom

Lattice parameters (Å, degrees): 3.641 3.641 11.878 98.82 98.82 90.00
Last column: magnetic moment on the atom in μB.
Fractional coordinates of all 5 atoms:
Nd1 0.193 0.193 0.387  0.02
Nd2 0.807 0.807 0.613  0.02
Dy1 0.416 0.416 0.832  0.07
Dy2 0.584 0.584 0.168  0.07
Hg1 0.000 0.000 0.000  0.00

---

Record 25
NdDyHg3 | PBE-GGA | optimized geometry

* D(E_F): 10.5 states/eV per cell
* formation energy: -2.13 eV per formula unit
* symmetry: Cmcm, No. 63
* energy relative to the lowest polymorph listed for this composition: 0 meV/atom

Lattice parameters (Å, degrees): 3.600 4.976 14.756 90.00 97.01 90.00
Last column: magnetic moment on the atom in μB.
Fractional coordinates of all 10 atoms:
Nd1 0.924 0.750 0.848  0.08
Hg1 0.317 0.750 0.634  0.00
Dy1 0.211 0.750 0.421  0.01
Nd2 0.076 0.250 0.152  0.08
Hg2 0.476 0.250 0.951  0.01
Hg3 0.683 0.250 0.366  0.00
Hg4 0.623 0.750 0.246  0.01
Hg5 0.524 0.750 0.049  0.01
Hg6 0.377 0.250 0.754  0.01
Dy2 0.789 0.250 0.579  0.01